The following is a DFT calculation (PBE+U) of a geometry-optimized Ba2FeGeO structure.

Lattice parameters (Å, degrees): 6.3851 6.3851 4.1041 90.00 90.00 90.00
Sites, in units of the cell vectors:
Ba1 0.0000 0.5000 0.0000
Ba2 0.5000 0.0000 0.0000
Fe1 0.0000 0.0000 0.5000
Ge1 0.5000 0.5000 0.0000
O1 0.5000 0.5000 0.5000

Values from the calculation:
The space group is No. 123. For the total energy, the calculation gives -3.72 eV/atom. The calculation puts the energy above the most stable polymorph in this dataset at 582.8 meV/atom. As for the crystal system: tetragonal. The density of states at the Fermi level is 5.47 states/eV per cell.